The following is a PBE calculation of crystalline Ce4Sn2Ru at its relaxed geometry, from Alexandria via LeMat-Bulk.

POSCAR file:
```
Ce4Sn2Ru
1.0
-1.6243 3.1271 -0.6699
0.8102 -1.5436 -9.1705
-5.6229 -2.4415 2.2371
Ce Sn Ru
4 2 1
Cartesian
-5.1606 -0.4598 0.7638
-4.4654 -3.3149 -4.6468
-2.7744 0.5761 -0.1866
-1.0351 -1.2395 -3.2762
-4.6383 -0.8671 -2.4041
-2.4871 -0.5605 -6.1893
-0.3437 -0.2845 -0.4947
```

The calculated formation energy comes out at -0.27 eV/atom. The calculation puts the density of states at the Fermi level at 19.9 states/eV/f.u. The calculation puts the density at 7.3 Mg/m³.


The following is a PBE calculation of crystalline Ce4SnRu at its relaxed geometry, from Alexandria via LeMat-Bulk.

POSCAR file:
```
Ce4SnRu
1.0
4.9132 0.0000 -2.3023
0.0000 6.6684 0.0000
-0.5329 0.0000 9.4398
Sn Ru Ce
2 2 8
Cartesian
1.5682 1.6671 0.0292
2.8121 5.0013 7.1083
1.3097 1.6671 4.8587
3.0706 5.0013 2.2788
1.6063 5.0013 0.3771
2.7741 1.6671 6.7604
-0.2656 6.4293 6.9049
-0.2656 3.5733 6.9049
4.6459 0.2391 0.2326
1.2787 5.0013 4.2484
3.1016 1.6671 2.8891
4.6459 3.0951 0.2326
```

The calculated formation energy comes out at -0.37 eV/atom. The calculation puts the density of states at the Fermi level at 12.8 states/eV/f.u. The calculation puts the energy above the most stable polymorph in this dataset at 0.000 eV/atom. The calculation puts the density at 8.6 Mg/m³.


The following is a PBE calculation of crystalline Ce3SnRu4 at its relaxed geometry, from Alexandria via LeMat-Bulk.

POSCAR file:
```
Ce3SnRu4
1.0
-5.3823 -2.5356 2.0235
4.4553 -3.1300 -3.1378
4.6064 1.4755 4.0121
Sn Ce Ru
1 3 4
Cartesian
4.3889 -1.0213 1.5419
-0.6821 -0.9319 5.3061
1.2541 -3.2740 0.2576
2.2606 -1.1412 3.9223
1.8563 -0.4608 0.7987
7.0481 -1.4087 1.2996
4.4144 -2.1400 -0.8400
-0.4817 -1.7041 1.7679
```

The calculated formation energy comes out at -0.26 eV/atom. The calculation puts the density of states at the Fermi level at 4.9 states/eV/f.u. The calculation puts the density at 9.4 Mg/m³.


The following is a PBE calculation of crystalline CeSnRu at its relaxed geometry, from Alexandria via LeMat-Bulk.

POSCAR file:
```
CeSnRu
1.0
-2.9770 -2.0129 -3.0014
1.5205 -3.3134 -2.9381
-1.2971 -4.4556 0.6227
Sn Ce Ru
1 1 1
Cartesian
0.0000 0.0000 0.0000
-1.3768 -4.8910 -2.6584
-0.6884 -2.4455 -1.3292
```

The calculated formation energy comes out at -0.38 eV/atom. The calculation puts the density of states at the Fermi level at 6.2 states/eV/f.u. The calculation puts the density at 8.2 Mg/m³.


The following is a PBE calculation of crystalline Ce7SnRu4 at its relaxed geometry, from Alexandria via LeMat-Bulk.

POSCAR file:
```
Ce7SnRu4
1.0
-4.8635 -3.2920 -0.8110
1.6187 -8.0119 1.1448
-3.4999 -1.6414 5.9815
Ce Ru Sn
7 4 1
Cartesian
-6.5353 -7.4379 4.3734
-3.6954 -5.6012 1.5573
-4.2484 -10.5706 3.3754
-0.2095 -5.5074 1.9419
-2.4318 -1.6460 -0.4055
-2.4964 -2.3747 2.9399
-3.0494 -7.3441 4.7580
-5.6244 -9.1401 5.8206
-2.1545 -8.1587 2.6981
-1.1204 -3.8052 0.4947
-4.5903 -4.7866 3.6171
0.0000 0.0000 0.0000
```

The calculated formation energy comes out at -0.22 eV/atom. The calculation puts the density of states at the Fermi level at 24.4 states/eV/f.u. The calculation puts the density at 8.5 Mg/m³.


The following is a PBE calculation of crystalline Ce5Sn2Ru at its relaxed geometry, from Alexandria via LeMat-Bulk.

POSCAR file:
```
Ce5Sn2Ru
1.0
-1.4953 -0.1308 7.0249
4.3655 -5.6206 1.0295
1.7553 5.4388 -3.2562
Ru Sn Ce
1 2 5
Cartesian
0.5279 0.2776 0.2661
3.6413 -1.3774 0.8744
0.8817 1.2110 3.6876
2.8050 -4.0837 2.5481
2.3664 3.8918 -1.2472
2.2839 -4.2232 6.0861
0.0647 -1.5050 5.3587
2.7526 -2.0231 4.5314
```

The calculated formation energy comes out at -0.36 eV/atom. The calculation puts the density of states at the Fermi level at 15.0 states/eV/f.u. The calculation puts the energy above the most stable polymorph in this dataset at 0.109 eV/atom. The calculation puts the density at 8.0 Mg/m³.


The following is a PBE calculation of crystalline Ce2Sn2Ru3 at its relaxed geometry, from Alexandria via LeMat-Bulk.

POSCAR file:
```
Ce2Sn2Ru3
1.0
-5.2738 4.4545 2.0814
-2.8774 -6.0141 -2.7457
4.1100 -1.6788 5.6813
Ru Sn Ce
6 4 4
Cartesian
-3.2273 -4.9527 -0.9453
-1.9478 -2.9811 4.8122
-2.6753 1.1305 4.0860
-0.0812 -1.9977 0.7021
-4.3077 -0.4533 1.7487
0.1156 -0.4609 4.6469
-1.8233 -1.2068 2.6967
-6.3509 1.1420 0.5657
-2.9140 2.0052 1.3847
1.7732 -0.7243 2.4510
-3.4669 -1.2940 -0.5725
0.1498 -4.2203 2.0469
3.6356 -1.4850 5.0255
-3.1272 -3.9320 1.4525
```

The calculated formation energy comes out at -0.31 eV/atom. The calculation puts the density of states at the Fermi level at 5.4 states/eV/f.u. The calculation puts the energy above the most stable polymorph in this dataset at 0.015 eV/atom. The calculation puts the density at 9.4 Mg/m³.


The following is a PBE calculation of crystalline Ce2SnRu2 at its relaxed geometry, from Alexandria via LeMat-Bulk.

POSCAR file:
```
Ce2SnRu2
1.0
4.7109 -0.0005 0.0023
2.3513 8.1109 -0.2478
2.3529 -0.1797 6.2751
Ru Ce Sn
4 4 2
Cartesian
3.5308 6.2146 -0.0314
5.8843 1.7161 6.0610
3.5280 5.8605 2.7980
5.8871 2.0701 3.2316
1.1760 0.6215 1.4067
8.2390 7.3091 4.6230
3.5316 3.3449 1.6078
5.8835 4.5857 4.4218
3.5302 1.8896 4.6436
5.8849 6.0411 1.3861
```

The calculated formation energy comes out at -0.45 eV/atom. The calculation puts the density of states at the Fermi level at 5.5 states/eV/f.u. The calculation puts the density at 8.3 Mg/m³.